(1)
Entry from the Alexandria database: Sm2HoTc2C4 after structural relaxation (PBE).

Cell and atoms, written as extended XYZ:
```
9
Lattice="6.762 -1.752 0.000 6.762 1.752 0.000 -1.989 0.000 5.780" Properties=species:S:1:pos:R:3 pbc="T T T"
Sm 1.737 0.000 0.183
Sm 9.799 0.000 5.596
Ho -0.994 0.000 2.890
Tc 3.343 0.000 2.920
Tc 8.192 0.000 2.860
C 1.573 0.000 4.075
C 4.712 0.000 4.310
C 6.823 0.000 1.470
C 9.963 0.000 1.705
```

Computed properties:
Energy relative to the elements (meV per atom): -45
E_tot (eV per atom): -8.01
Space-group type: C2/m (12)

(2)
Entry from the Alexandria database: DyCuGe after structural relaxation (PBE).

Cell and atoms, written as extended XYZ:
```
3
Lattice="-1.954 1.954 4.065 1.954 -1.954 4.065 1.954 1.954 -4.065" Properties=species:S:1:pos:R:3 pbc="T T T"
Dy 0.000 0.000 0.000
Cu 0.000 0.000 2.805
Ge 0.000 0.000 5.293
```

Computed properties:
Energy relative to the elements (meV per atom): -171
E_tot (eV per atom): -4.61
Space-group type: I4mm (107)

(3)
Entry from the Alexandria database: RbNaPbO2 after structural relaxation (PBE).

Cell and atoms, written as extended XYZ:
```
10
Lattice="6.033 -2.071 0.000 6.033 2.071 0.000 -2.260 0.000 8.758" Properties=species:S:1:pos:R:3 pbc="T T T"
Rb 1.741 0.000 0.971
Rb 8.065 0.000 7.786
Na 1.119 0.000 5.000
Na 8.686 0.000 3.758
Pb 4.864 0.000 2.586
Pb 4.942 0.000 6.172
O 0.012 0.000 7.004
O 3.403 0.000 4.252
O 6.403 0.000 4.506
O 9.793 0.000 1.754
```

Computed properties:
ΔE_f (raw) (eV per atom): -1.18
E_tot (eV per atom): -4.36
Space-group type: C2/m (12)

(4)
Entry from the Alexandria database: Ac2Pm3Sn2 after structural relaxation (PBE).

Cell and atoms, written as extended XYZ:
```
7
Lattice="6.386 -2.325 0.000 6.386 2.325 0.000 -3.338 0.000 8.426" Properties=species:S:1:pos:R:3 pbc="T T T"
Ac 0.836 0.000 2.533
Ac 8.597 0.000 5.892
Pm 4.558 0.000 0.457
Pm 4.717 0.000 4.213
Pm 4.875 0.000 7.968
Sn -0.356 0.000 6.005
Sn 9.789 0.000 2.421
```

Computed properties:
Energy relative to the elements (meV per atom): -450
E_tot (eV per atom): -4.80
Space-group type: C2/m (12)

(5)
Entry from the Alexandria database: BaLiHf2Pd after structural relaxation (PBE).

Cell and atoms, written as extended XYZ:
```
5
Lattice="5.453 0.000 0.000 0.000 5.453 0.000 0.000 0.000 5.233" Properties=species:S:1:pos:R:3 pbc="T T T"
Ba 0.000 0.000 0.000
Li 2.726 2.726 2.617
Hf 0.000 2.726 0.000
Hf 2.726 0.000 0.000
Pd 0.000 0.000 2.617
```

Computed properties:
Energy relative to the elements (meV per atom): 1766
E_tot (eV per atom): -4.02
Space-group type: P4/mmm (123)

(6)
Entry from the Alexandria database: CdAg2Rh after structural relaxation (PBE).

Cell and atoms, written as extended XYZ:
```
4
Lattice="4.754 -1.502 0.000 4.754 1.502 0.000 -1.003 0.000 4.868" Properties=species:S:1:pos:R:3 pbc="T T T"
Cd 0.000 0.000 0.000
Ag 4.318 0.000 2.496
Ag 6.907 0.000 1.344
Rh 1.643 0.000 3.772
```

Computed properties:
Energy relative to the elements (meV per atom): 85
E_tot (eV per atom): -3.41
Space-group type: Cm (8)

(7)
Entry from the Alexandria database: SrTc3Te after structural relaxation (PBE).

Cell and atoms, written as extended XYZ:
```
5
Lattice="4.946 0.000 0.000 0.000 4.946 0.000 0.000 0.000 4.946" Properties=species:S:1:pos:R:3 pbc="T T T"
Sr 0.000 0.000 0.000
Tc 0.000 2.473 2.473
Tc 2.473 0.000 2.473
Tc 2.473 2.473 0.000
Te 2.473 2.473 2.473
```

Computed properties:
ΔE_f (raw) (eV per atom): 1.19
Energy relative to the lowest polymorph listed for this composition (eV/atom): 0.000
E_tot (eV per atom): -5.99
Space-group type: Pm-3m (221)

(8)
Entry from the Alexandria database: Pr4Sm2Tl3H2 after structural relaxation (PBE).

Cell and atoms, written as extended XYZ:
```
11
Lattice="-2.447 2.447 12.786 2.447 -2.447 12.786 2.447 2.447 -12.786" Properties=species:S:1:pos:R:3 pbc="T T T"
Pr 2.447 0.000 2.196
Pr 2.447 0.000 10.590
Pr 0.000 2.447 2.196
Pr 0.000 2.447 10.590
Sm 0.000 0.000 5.120
Sm 0.000 0.000 20.453
Tl 0.000 0.000 8.290
Tl 0.000 0.000 12.786
Tl 0.000 0.000 17.282
H 0.000 0.000 2.730
H 0.000 0.000 22.843
```

Computed properties:
E_tot (eV per atom): -4.13
Space-group type: I4/mmm (139)

(9)
Entry from the Alexandria database: BeH10N3F3 after structural relaxation (PBE).

Cell and atoms, written as extended XYZ:
```
68
Lattice="6.678 0.000 0.000 0.000 8.177 0.000 0.000 0.000 10.767" Properties=species:S:1:pos:R:3 pbc="T T T"
Be 0.294 1.161 1.139
Be 3.045 7.016 6.523
Be 3.633 2.928 9.628
Be 6.384 5.249 4.244
H 0.188 1.151 9.023
H 0.271 3.493 1.680
H 0.313 5.849 8.675
H 0.353 7.285 5.221
H 0.926 1.589 3.788
H 0.970 0.628 7.607
H 1.237 2.194 8.181
H 1.280 3.157 0.450
H 1.326 2.771 4.859
H 1.368 6.930 10.405
H 1.971 1.247 5.021
H 2.013 5.406 10.242
H 2.059 5.020 5.833
H 2.102 5.983 2.798
H 2.369 7.548 2.223
H 2.413 6.587 9.171
H 2.987 0.892 10.604
H 3.026 2.328 3.292
H 3.068 4.684 7.063
H 3.151 7.025 3.639
H 3.528 2.937 1.744
H 3.611 0.595 9.088
H 3.652 6.416 2.092
H 3.692 4.980 5.546
H 4.265 2.499 6.979
H 4.310 3.460 3.160
H 4.576 1.894 2.586
H 4.620 0.931 10.317
H 4.665 1.318 5.908
H 4.708 5.335 0.362
H 5.310 2.842 5.746
H 5.352 6.859 0.525
H 5.398 7.246 4.934
H 5.441 6.282 7.969
H 5.708 4.717 8.544
H 5.752 5.678 1.596
H 6.326 3.197 0.163
H 6.365 1.761 7.475
H 6.407 7.581 3.704
H 6.490 5.240 7.128
N 0.361 2.898 0.844
N 0.523 1.445 8.084
N 1.640 6.211 9.729
N 1.699 1.966 4.346
N 2.816 6.732 2.701
N 2.978 5.279 6.227
N 3.700 1.190 9.923
N 3.863 2.643 2.683
N 4.979 6.054 1.038
N 5.038 2.123 6.421
N 6.155 5.533 8.066
N 6.317 6.986 4.540
F 0.319 4.572 5.520
F 0.574 4.987 2.977
F 1.586 7.549 6.695
F 1.753 0.628 1.311
F 2.765 3.190 8.360
F 3.020 3.605 0.136
F 3.658 7.693 5.247
F 3.913 7.278 7.790
F 4.926 4.716 4.072
F 5.092 3.460 9.456
F 6.105 0.898 2.407
F 6.360 0.484 10.631
```

Computed properties:
E_tot (eV per atom): -5.11
Space-group type: P2_12_12_1 (19)

(10)
Entry from the Alexandria database: IrNF3 after structural relaxation (PBE).

Cell and atoms, written as extended XYZ:
```
5
Lattice="3.900 0.000 0.000 0.000 3.900 0.000 0.000 0.000 3.900" Properties=species:S:1:pos:R:3 pbc="T T T"
Ir 0.000 0.000 0.000
N 1.950 1.950 1.950
F 0.000 1.950 1.950
F 1.950 0.000 1.950
F 1.950 1.950 0.000
```

Computed properties:
ΔE_f (raw) (eV per atom): 1.23
Energy relative to the lowest polymorph listed for this composition (eV/atom): 0.504
E_tot (eV per atom): -3.33
Space-group type: Pm-3m (221)

(11)
Entry from the Alexandria database: Zr3AgRh2 after structural relaxation (PBE).

Cell and atoms, written as extended XYZ:
```
6
Lattice="3.311 0.000 0.000 0.000 3.311 0.000 0.000 0.000 10.288" Properties=species:S:1:pos:R:3 pbc="T T T"
Zr 0.000 0.000 0.000
Zr 0.000 0.000 3.258
Zr 0.000 0.000 7.031
Ag 1.656 1.656 5.144
Rh 1.656 1.656 1.629
Rh 1.656 1.656 8.659
```

Computed properties:
Energy relative to the elements (meV per atom): -506
E_tot (eV per atom): -7.71
Space-group type: P4/mmm (123)

(12)
Entry from the Alexandria database: Cs3Pr2HoS6 after structural relaxation (PBE).

Cell and atoms, written as extended XYZ:
```
12
Lattice="3.655 -6.330 0.000 3.655 6.330 0.000 -2.437 0.000 8.093" Properties=species:S:1:pos:R:3 pbc="T T T"
Cs 0.000 0.000 0.000
Cs 3.655 2.125 0.000
Cs 3.655 -2.125 0.000
Pr 2.436 4.221 4.047
Pr 2.436 -4.221 4.047
Ho 2.436 0.000 4.047
S 1.258 2.039 2.549
S 0.081 0.000 5.549
S 1.258 -2.039 2.549
S 3.614 2.039 5.544
S 4.791 0.000 2.544
S 3.614 -2.039 5.544
```

Computed properties:
ΔE_f (raw) (eV per atom): -1.81
E_tot (eV per atom): -5.26
Space-group type: C2/m (12)

(13)
Entry from the Alexandria database: La2NdSb after structural relaxation (PBE).

Cell and atoms, written as extended XYZ:
```
4
Lattice="2.093 1.208 9.867 -2.093 1.208 9.867 0.000 -2.416 9.867" Properties=species:S:1:pos:R:3 pbc="T T T"
La 0.000 0.000 0.000
La 0.000 0.000 5.781
Nd 0.000 0.000 22.624
Sb 0.000 0.000 17.691
```

Computed properties:
ΔE_f (raw) (eV per atom): -0.41
Energy relative to the lowest polymorph listed for this composition (eV/atom): 0.193
E_tot (eV per atom): -5.10
Space-group type: R3m (160)

(14)
Entry from the Alexandria database: Dy5Ir2Pd after structural relaxation (PBE).

Cell and atoms, written as extended XYZ:
```
16
Lattice="-3.802 3.802 6.695 3.802 -3.802 6.695 3.802 3.802 -6.695" Properties=species:S:1:pos:R:3 pbc="T T T"
Dy 0.000 0.000 0.000
Dy 5.049 1.246 -1.854
Dy 1.246 2.556 -1.854
Dy 5.049 1.246 1.854
Dy 1.246 2.556 1.854
Dy 0.000 0.000 6.695
Dy 2.556 1.246 4.841
Dy -1.246 2.556 4.841
Dy 2.556 1.246 8.549
Dy -1.246 2.556 8.549
Ir 2.761 1.042 0.000
Ir 2.761 -1.042 6.695
Ir 1.042 4.844 0.000
Ir 1.042 2.761 6.695
Pd 0.000 0.000 3.347
Pd 0.000 0.000 10.042
```

Computed properties:
Energy relative to the elements (meV per atom): -761
E_tot (eV per atom): -6.50
Space-group type: I4/mcm (140)

(15)
Entry from the Alexandria database: Cs2ScBr5 after structural relaxation (PBE).

Cell and atoms, written as extended XYZ:
```
8
Lattice="0.000 5.837 5.129 5.836 0.000 5.129 5.836 5.837 0.000" Properties=species:S:1:pos:R:3 pbc="T T T"
Cs 2.918 2.918 0.000
Cs 2.918 2.918 5.129
Sc 5.836 5.837 2.121
Br 5.836 3.257 2.645
Br 8.409 5.837 2.666
Br 5.836 8.417 2.645
Br 3.264 5.837 2.666
Br 5.836 5.837 9.897
```

Computed properties:
ΔE_f (raw) (eV per atom): -1.78
Energy relative to the lowest polymorph listed for this composition (eV/atom): 0.013
E_tot (eV per atom): -3.83
Space-group type: Fmm2 (42)

(16)
Entry from the Alexandria database: ZrIn2Sb after structural relaxation (PBE).

Cell and atoms, written as extended XYZ:
```
4
Lattice="3.118 -4.764 0.000 3.118 4.764 0.000 0.000 0.000 3.243" Properties=species:S:1:pos:R:3 pbc="T T T"
Zr 0.000 0.000 0.000
In 1.559 2.382 1.622
In 1.559 -2.382 1.622
Sb 3.118 0.000 0.000
```

Computed properties:
ΔE_f (raw) (eV per atom): -0.08
E_tot (eV per atom): -4.62
Space-group type: Cmmm (65)

(17)
Entry from the Alexandria database: YGa2Ru2 after structural relaxation (PBE).

Cell and atoms, written as extended XYZ:
```
10
Lattice="-2.003 2.003 11.202 2.003 -2.003 11.202 2.003 2.003 -11.202" Properties=species:S:1:pos:R:3 pbc="T T T"
Y 0.000 0.000 2.898
Y 0.000 0.000 19.507
Ga 2.003 0.000 0.000
Ga 0.000 0.000 7.171
Ga 0.000 2.003 0.000
Ga 0.000 0.000 15.234
Ru 2.003 0.000 5.601
Ru 0.000 0.000 9.689
Ru 0.000 0.000 12.716
Ru 0.000 2.003 5.601
```

Computed properties:
Energy relative to the elements (meV per atom): -429
E_tot (eV per atom): -6.64
Space-group type: I4/mmm (139)

(18)
Entry from the Alexandria database: Pu6NpSe8 after structural relaxation (PBE).

Cell and atoms, written as extended XYZ:
```
15
Lattice="0.000 5.863 5.863 5.863 0.000 5.863 5.863 5.863 0.000" Properties=species:S:1:pos:R:3 pbc="T T T"
Pu 2.932 2.932 0.000
Pu 2.932 0.000 2.932
Pu 5.863 2.932 2.932
Pu 0.000 2.932 2.932
Pu 2.932 5.863 2.932
Pu 2.932 2.932 5.863
Np 0.000 0.000 0.000
Se 5.863 5.863 2.909
Se 5.863 2.909 5.863
Se 8.817 5.863 5.863
Se 2.932 2.932 2.932
Se 8.795 8.795 8.795
Se 2.909 5.863 5.863
Se 5.863 8.817 5.863
Se 5.863 5.863 8.817
```

Computed properties:
ΔE_f (raw) (eV per atom): -1.48
E_tot (eV per atom): -9.93
Space-group type: Fm-3m (225)

(19)
Entry from the Alexandria database: LiPuOs after structural relaxation (PBE).

Cell and atoms, written as extended XYZ:
```
6
Lattice="2.271 -7.028 0.000 2.271 7.028 0.000 0.000 0.000 2.911" Properties=species:S:1:pos:R:3 pbc="T T T"
Li 2.271 6.210 2.183
Li 2.271 -6.210 0.728
Pu 2.271 3.834 0.728
Pu 2.271 -3.834 2.183
Os 2.271 1.076 2.183
Os 2.271 -1.076 0.728
```

Computed properties:
Energy relative to the elements (meV per atom): 343
E_tot (eV per atom): -8.82
Space-group type: Cmcm (63)

(20)
Entry from the Alexandria database: NdY3Pu2S6 after structural relaxation (PBE).

Cell and atoms, written as extended XYZ:
```
12
Lattice="3.418 -5.924 0.000 3.418 5.924 0.000 -2.277 0.000 6.492" Properties=species:S:1:pos:R:3 pbc="T T T"
Nd 0.000 0.000 0.000
Y 2.280 3.972 3.246
Y 2.280 0.000 3.246
Y 2.280 -3.972 3.246
Pu 3.418 1.977 0.000
Pu 3.418 -1.977 0.000
S 1.162 2.010 1.666
S 0.043 0.000 4.831
S 1.162 -2.010 1.666
S 3.397 2.010 4.826
S 4.516 0.000 1.661
S 3.397 -2.010 4.826
```

Computed properties:
ΔE_f (raw) (eV per atom): -1.95
E_tot (eV per atom): -8.42
Space-group type: C2/m (12)

Number 1: total magnetization 0.000 μB per formula unit. Number 2: total magnetization 0.000 μB per formula unit. Number 3: total magnetization 0.000 μB per formula unit. Number 4: total magnetization 0.008 μB per formula unit. Number 5: total magnetization 0.000 μB per formula unit. Number 6: total magnetization 0.001 μB per formula unit. Number 7: total magnetization 2.442 μB per formula unit. Number 8: total magnetization 0.000 μB per formula unit. Number 9: total magnetization 0.050 μB per formula unit. Number 10: total magnetization 3.696 μB per formula unit. Number 11: total magnetization 0.000 μB per formula unit. Number 12: total magnetization 0.000 μB per formula unit. Number 13: total magnetization 0.002 μB per formula unit. Number 14: total magnetization 0.000 μB per formula unit. Number 15: total magnetization 0.000 μB per formula unit. Number 16: total magnetization 0.000 μB per formula unit. Number 17: total magnetization 0.144 μB per formula unit. Number 18: total magnetization 38.598 μB per formula unit. Number 19: total magnetization 3.776 μB per formula unit. Number 20: total magnetization 11.477 μB per formula unit.